[1]
YInP2 GGA-PBE optimized geometry; calculated density = 5.359 g cm⁻³; crystal system = tetragonal; SG = I4/mmm (139); VASP energy = -21.373 eV for the cell shown; magnetic moment = 0.000 μB/atom
1.0
-2.561 1.903 3.986
1.735 -2.904 3.824
2.794 2.611 -3.383
Y P In
1 2 1
Direct
0.250 0.750 0.500
0.500 0.500 0.000
0.000 0.000 0.000
0.750 0.250 0.500

=====

[2]
Y2InP GGA-PBE optimized geometry; calculated density = 5.551 g cm⁻³; crystal system = cubic; SG = Fm-3m (225); VASP energy = -23.130 eV for the cell shown; magnetic moment = 0.000 μB/atom; excess energy over the best structure of this formula in the dataset = 0.500 eV/atom
1.0
-4.985 0.837 1.004
-3.308 0.808 -3.869
-3.506 -3.587 -1.185
Y P In
2 1 1
Direct
0.750 0.750 0.750
0.250 0.250 0.250
0.000 0.000 0.000
0.500 0.500 0.500

=====

[3]
ZnInP2 GGA-PBE optimized geometry; calculated density = 4.869 g cm⁻³; crystal system = orthorhombic; SG = Amm2 (38); VASP energy = -14.383 eV for the cell shown; magnetic moment = 0.000 μB/atom
1.0
4.892 0.000 0.000
0.000 4.175 0.013
0.000 1.022 4.047
P Zn In
2 1 1
Direct
0.500 0.415 0.415
0.000 0.960 0.959
0.000 0.325 0.326
0.500 0.800 0.801

=====

[4]
ZnIn2P4 GGA-PBE optimized geometry; calculated density = 3.850 g cm⁻³; crystal system = hexagonal; SG = P6_3mc (186); VASP energy = -56.183 eV for the cell shown; magnetic moment = 0.000 μB/atom; excess energy over the best structure of this formula in the dataset = 0.046 eV/atom
1.0
4.239 0.000 0.000
-2.120 3.670 0.000
0.000 0.000 23.230
P In Zn
8 4 2
Direct
0.667 0.333 0.850
0.667 0.334 0.202
0.000 0.999 0.553
0.000 0.001 0.053
0.333 0.666 0.702
0.333 0.667 0.350
0.000 0.000 0.359
0.000 0.000 0.859
0.666 0.333 0.739
0.333 0.666 0.591
0.667 0.334 0.091
0.334 0.667 0.239
0.000 0.000 0.956
0.000 0.000 0.456

=====

[5]
ZnInP2 GGA-PBE optimized geometry; calculated density = 5.253 g cm⁻³; crystal system = orthorhombic; SG = Pmmm (47); VASP energy = -13.188 eV for the cell shown; magnetic moment = 0.000 μB/atom
1.0
3.773 0.000 0.000
0.000 5.493 0.000
0.000 0.000 3.694
Zn In P
1 1 2
Direct
0.500 0.000 0.500
0.000 0.500 0.500
0.500 0.500 0.000
0.000 0.000 0.000

=====

[6]
ZnInP2 GGA-PBE optimized geometry; calculated density = 4.967 g cm⁻³; crystal system = trigonal; SG = R3m (160); VASP energy = -14.307 eV for the cell shown; magnetic moment = 0.000 μB/atom
1.0
8.800 -0.067 -0.040
8.206 3.178 -0.040
8.206 1.501 2.801
In Zn P
1 1 2
Direct
0.754 0.754 0.754
0.511 0.511 0.511
0.260 0.260 0.260
0.976 0.976 0.976

=====

In eV/f.u., the formation energy values for the records above are, in order, -1.4; -2.1; 0.4; 0.3; 1.6; 0.5.